A relaxed TiI2NF crystal, computed with PBE.

The space group is P4/mmm (No. 123) and the conventional cell measures 5.561, 5.561 and 3.726 Å, with angles of 90.00, 90.00 and 90.00 degrees. The inequivalent atoms are Ti at (0.000, 0.000, 0.000), I at (0.000, 0.500, 0.000), N at (0.000, 0.000, 0.500) and F at (0.500, 0.500, 0.500).

The raw total energy comes out at -22.159 eV/cell. The calculation puts the energy above the lowest structure with this stoichiometry at 0 meV per atom. As for the formation energy without anion corrections: -0.193 eV per atom.